VASP calculation (PBE-GGA) on a relaxed structure of RbLi2P2.

```
RbLi2P2
1.0
8.281 0.000 0.000
0.000 8.281 0.000
0.000 0.000 2.791
P Rb Li
4 2 4
Direct
0.157 0.657 0.500
0.657 0.843 0.500
0.843 0.343 0.500
0.343 0.157 0.500
0.000 0.000 0.000
0.500 0.500 0.000
0.378 0.878 0.000
0.878 0.622 0.000
0.622 0.122 0.000
0.122 0.378 0.000
```

Output
Formation enthalpy at 0 K ... -1.23 eV/f.u.
Density ... 2.799 g cm⁻³
Calculated total energy ... -3.37 eV/atom
Excess energy over the best structure of this formula in the dataset ... 201.6 meV/atom
DOS at the Fermi energy ... 1.625 states/eV/f.u.

---

VASP calculation (PBE-GGA) on a relaxed structure of CsCa2TePd.

```
CsCa2TePd
1.0
5.606 0.000 0.000
0.000 5.830 0.000
0.000 0.000 5.606
Cs Ca Te Pd
1 2 1 1
Direct
0.500 0.500 0.500
0.000 0.000 0.500
0.500 0.000 0.000
0.000 0.500 0.000
0.000 0.000 0.000
```

Output
Density ... 4.052 g cm⁻³
Calculated total energy ... -3.10 eV/atom
DOS at the Fermi energy ... 1.596 states/eV/f.u.
E_form (uncorrected) ... -45 kJ/mol of atoms

---

VASP calculation (PBE-GGA) on a relaxed structure of NpUP2Ru2.

```
NpUP2Ru2
1.0
4.061 0.000 0.000
-2.031 3.517 0.000
0.000 0.000 7.417
Np U P Ru
1 1 2 2
Direct
0.000 0.000 0.000
0.000 0.000 0.500
0.333 0.667 0.225
0.667 0.333 0.775
0.333 0.667 0.715
0.667 0.333 0.285
```

Output
Formation enthalpy at 0 K ... -4.06 eV/f.u.
Density ... 11.584 g cm⁻³
Calculated total energy ... -9.61 eV/atom
DOS at the Fermi energy ... 11.388 states/eV/f.u.

---

VASP calculation (PBE-GGA) on a relaxed structure of BF.

```
BF
1.0
-1.382 -9.949 -2.547
9.471 -0.241 -4.199
0.843 -0.613 1.936
B F
8 8
Direct
0.271 0.809 0.000
0.729 0.191 0.000
0.191 0.271 0.000
0.809 0.729 0.000
0.771 0.309 0.500
0.229 0.691 0.500
0.691 0.771 0.500
0.309 0.229 0.500
0.416 0.192 0.000
0.584 0.808 0.000
0.808 0.416 0.000
0.192 0.584 0.000
0.916 0.692 0.500
0.084 0.308 0.500
0.308 0.916 0.500
0.692 0.084 0.500
```

Output
Density ... 1.677 g cm⁻³
Calculated total energy ... -4.87 eV/atom
Excess energy over the best structure of this formula in the dataset ... 728.6 meV/atom
E_form (uncorrected) ... -57 kJ/mol of atoms

---

VASP calculation (PBE-GGA) on a relaxed structure of Pm4Al3Cu.

```
Pm4Al3Cu
1.0
3.539 0.000 0.000
0.000 3.539 0.000
0.000 0.000 15.745
Al Cu Pm
3 1 4
Direct
0.500 0.500 0.241
0.500 0.500 0.500
0.500 0.500 0.759
0.500 0.500 0.000
0.000 0.000 0.884
0.000 0.000 0.116
0.000 0.000 0.371
0.000 0.000 0.629
```

Output
Formation enthalpy at 0 K ... -2.49 eV/f.u.
Density ... 6.100 g cm⁻³
Calculated total energy ... -4.60 eV/atom
Excess energy over the best structure of this formula in the dataset ... 0.0 meV/atom
DOS at the Fermi energy ... 4.792 states/eV/f.u.

---

VASP calculation (PBE-GGA) on a relaxed structure of PmGdZnOs.

```
PmGdZnOs
1.0
-0.117 -4.294 2.555
-0.101 -4.360 -2.443
4.007 -2.987 0.052
Zn Gd Os Pm
1 1 1 1
Direct
0.000 0.000 0.000
0.250 0.250 0.250
0.500 0.500 0.500
0.750 0.750 0.750
```

Output
Formation enthalpy at 0 K ... -0.73 eV/f.u.
Density ... 10.492 g cm⁻³
Calculated total energy ... -8.02 eV/atom
DOS at the Fermi energy ... 3.723 states/eV/f.u.

---

VASP calculation (PBE-GGA) on a relaxed structure of Li2NdDy2Bi2.

```
Li2NdDy2Bi2
1.0
-1.744 -3.197 3.272
1.272 -4.720 -0.270
6.921 -1.036 6.340
Li Nd Dy Bi
2 1 2 2
Direct
0.585 0.585 0.244
0.415 0.415 0.756
0.000 0.000 0.000
0.132 0.132 0.604
0.868 0.868 0.396
0.737 0.737 0.788
0.263 0.263 0.212
```

Output
Formation enthalpy at 0 K ... -2.86 eV/f.u.
Density ... 8.001 g cm⁻³
Calculated total energy ... -4.06 eV/atom
DOS at the Fermi energy ... 5.397 states/eV/f.u.

---

VASP calculation (PBE-GGA) on a relaxed structure of MnP2SBr.

```
MnP2SBr
1.0
-0.221 1.438 4.306
-1.279 -4.156 1.323
4.131 -1.088 0.575
P S Mn Br
2 1 1 1
Direct
0.000 0.500 0.000
0.500 0.000 0.000
0.000 0.000 0.500
0.000 0.000 0.000
0.500 0.500 0.500
```

Output
Density ... 4.267 g cm⁻³
Calculated total energy ... -4.73 eV/atom
Excess energy over the best structure of this formula in the dataset ... 0.0 meV/atom
DOS at the Fermi energy ... 4.458 states/eV/f.u.
E_form (uncorrected) ... 41 kJ/mol of atoms

---

VASP calculation (PBE-GGA) on a relaxed structure of SrErBi2O6.

```
SrErBi2O6
1.0
5.979 0.000 0.000
2.990 5.179 0.000
2.990 1.726 5.283
Sr Er Bi O
1 1 2 6
Direct
0.799 0.799 0.603
0.312 0.312 0.064
0.524 0.524 0.429
0.017 0.017 0.949
0.614 0.225 0.234
0.225 0.926 0.234
0.926 0.615 0.234
0.373 0.713 0.756
0.713 0.157 0.756
0.157 0.373 0.756
```

Output
Density ... 7.805 g cm⁻³
Calculated total energy ... -6.45 eV/atom
DOS at the Fermi energy ... 4.843 states/eV/f.u.
E_form (uncorrected) ... -200 kJ/mol of atoms

---

VASP calculation (PBE-GGA) on a relaxed structure of CsGe2AsI8.

```
CsGe2AsI8
1.0
-3.827 2.253 -6.335
-6.170 -3.745 1.161
-3.585 9.114 4.823
Cs Ge As I
1 2 1 8
Direct
0.000 0.000 0.500
0.438 0.429 0.828
0.562 0.571 0.172
0.000 0.000 0.000
0.184 0.787 0.176
0.714 0.776 0.004
0.838 0.254 0.205
0.816 0.213 0.824
0.286 0.224 0.996
0.162 0.746 0.795
0.608 0.731 0.394
0.392 0.269 0.606
```

Output
Density ... 3.734 g cm⁻³
Calculated total energy ... -2.67 eV/atom
E_form (uncorrected) ... -40 kJ/mol of atoms

---

VASP calculation (PBE-GGA) on a relaxed structure of CeScSnHg.

```
CeScSnHg
1.0
-3.884 -2.863 -2.052
-0.240 -5.152 0.943
-3.761 -1.925 3.105
Sc Hg Ce Sn
1 1 1 1
Direct
0.250 0.250 0.250
0.500 0.500 0.500
0.750 0.750 0.750
0.000 0.000 0.000
```

Output
Formation enthalpy at 0 K ... -1.83 eV/f.u.
Density ... 8.217 g cm⁻³
Calculated total energy ... -4.60 eV/atom
DOS at the Fermi energy ... 9.351 states/eV/f.u.

---

VASP calculation (PBE-GGA) on a relaxed structure of NdYGa4.

```
NdYGa4
1.0
-2.699 2.535 2.032
-1.321 -3.270 2.325
7.210 1.857 2.871
Nd Y Ga
1 1 4
Direct
0.250 0.750 0.500
0.000 0.000 0.000
0.666 0.166 0.332
0.582 0.582 0.164
0.834 0.334 0.668
0.418 0.418 0.836
```

Output
Formation enthalpy at 0 K ... -4.00 eV/f.u.
Density ... 6.441 g cm⁻³
Calculated total energy ... -4.56 eV/atom
Excess energy over the best structure of this formula in the dataset ... 11.1 meV/atom
DOS at the Fermi energy ... 3.255 states/eV/f.u.